This record from Alexandria describes a geometry-optimized FeCN2O structure. The functional is PBE+U.

Values from the calculation:
magnetic moment = 0.786 μB/atom
uncorrected energy = -6.156 eV per atom

Unit cell a=2.9127 b=2.9127 c=6.0933 alpha=90.00 beta=90.00 gamma=90.00
Last column: magnetic moment on the atom in μB.
Element x y z (fractional)
N 0.0000 0.5000 0.0000  0.00
N 0.5000 0.0000 0.0000  0.00
C 0.0000 0.0000 0.0000  0.00
Fe 0.5000 0.5000 0.5000  -3.74
O 0.0000 0.0000 0.5000  -0.11